#P
LaTbIr2: optimized geometry, GGA-PBE.

Output
* V: 21.85 Å³/atom
* SG: No. 225

abc: 7.0442 7.0442 7.0442
angles: 90.00 90.00 90.00
Closest atoms and distances in Å follow each position.
Atoms (fractional coordinates):
La 0.0000 0.0000 0.0000  8 Ir 3.05
La 0.0000 0.5000 0.5000  8 Ir 3.05
La 0.5000 0.0000 0.5000  8 Ir 3.05
La 0.5000 0.5000 0.0000  8 Ir 3.05
Tb 0.0000 0.0000 0.5000  8 Ir 3.05
Tb 0.0000 0.5000 0.0000  8 Ir 3.05
Tb 0.5000 0.0000 0.0000  8 Ir 3.05
Tb 0.5000 0.5000 0.5000  8 Ir 3.05
Ir 0.2500 0.2500 0.2500  4 Tb 3.05, 4 La 3.05
Ir 0.2500 0.2500 0.7500  4 Tb 3.05, 4 La 3.05
Ir 0.2500 0.7500 0.2500  4 Tb 3.05, 4 La 3.05
Ir 0.2500 0.7500 0.7500  4 Tb 3.05, 4 La 3.05
Ir 0.7500 0.2500 0.2500  4 Tb 3.05, 4 La 3.05
Ir 0.7500 0.2500 0.7500  4 Tb 3.05, 4 La 3.05
Ir 0.7500 0.7500 0.2500  4 Tb 3.05, 4 La 3.05
Ir 0.7500 0.7500 0.7500  4 Tb 3.05, 4 La 3.05

#Q
LaTbIr2: optimized geometry, GGA-PBE.

Output
* V: 21.75 Å³/atom
* SG: No. 123

abc: 3.4526 3.4526 7.2982
angles: 90.00 90.00 90.00
Closest atoms and distances in Å follow each position.
Atoms (fractional coordinates):
La 0.0000 0.0000 0.0000  8 Ir 3.12, 4 La 3.45
Tb 0.0000 0.0000 0.5000  8 Ir 2.98
Ir 0.5000 0.5000 0.2661  4 Tb 2.98, 4 La 3.12
Ir 0.5000 0.5000 0.7339  4 Tb 2.98, 4 La 3.12

Best to worst by energy: #Q, #P.